*a*
Entry from the Alexandria database: a relaxed structure of Ac2Sm4Ho3 (PBE-GGA).

Summary:
density of states at the Fermi level	1.931	states/eV per atom
volume	35.91	A^3/atom

a = 6.3041 Å, b = 12.4589 Å, c = 16.4611 Å
α = 90.00°, β = 90.00°, γ = 90.00°
Space group Fmmm (No. 69)
Asymmetric unit:
Ac: 0.0000 0.0000 0.1167 (multiplicity 8)
Sm: 0.0000 0.1472 0.3136 (multiplicity 16)
Ho: 0.0000 0.0000 0.5000 (multiplicity 4)
Ho: 0.2500 0.2500 0.0000 (multiplicity 8)

*b*
Entry from the Alexandria database: a relaxed structure of Ac2Sm4Ho3 (PBE-GGA).

Summary:
density of states at the Fermi level	1.789	states/eV per atom
volume	35.84	A^3/atom

a = 3.7057 Å, b = 3.7057 Å, c = 27.1266 Å
α = 90.00°, β = 90.00°, γ = 120.00°
Space group P3m1 (No. 156)
Asymmetric unit:
Ac: 0.0000 0.0000 0.0000 (multiplicity 1)
Ac: 0.0000 0.0000 0.2231 (multiplicity 1)
Sm: 0.0000 0.0000 0.3594 (multiplicity 1)
Sm: 0.0000 0.0000 0.5665 (multiplicity 1)
Sm: 0.3333 0.6667 0.6738 (multiplicity 1)
Sm: 0.3333 0.6667 0.8825 (multiplicity 1)
Ho: 0.0000 0.0000 0.7788 (multiplicity 1)
Ho: 0.3333 0.6667 0.1130 (multiplicity 1)
Ho: 0.3333 0.6667 0.4614 (multiplicity 1)

Result of the stability comparison: *b* is the most stable of them.

*a*
Entry from the Alexandria database: a relaxed structure of AcSm7Ho2 (PBE-GGA).

Summary:
density of states at the Fermi level	1.298	states/eV per atom
volume	41.72	A^3/atom

a = 8.9510 Å, b = 15.9991 Å, c = 5.8270 Å
α = 90.00°, β = 90.00°, γ = 90.00°
Space group Cmmm (No. 65)
Asymmetric unit:
Ac: 0.0000 0.0000 0.0000 (multiplicity 2)
Sm: 0.0000 0.2349 0.0000 (multiplicity 4)
Sm: 0.0000 0.5000 0.5000 (multiplicity 2)
Sm: 0.1795 0.1200 0.5000 (multiplicity 8)
Ho: 0.0000 0.2973 0.5000 (multiplicity 4)

*b*
Entry from the Alexandria database: a relaxed structure of AcSm7Ho2 (PBE-GGA).

Summary:
density of states at the Fermi level	1.411	states/eV per atom
volume	34.18	A^3/atom

a = 6.3155 Å, b = 7.2826 Å, c = 8.1362 Å
α = 77.31°, β = 75.00°, γ = 73.22°
Space group P-1 (No. 2)
Asymmetric unit:
Ac: 0.0000 0.0000 0.0000 (multiplicity 1)
Sm: 0.0000 0.5000 0.0000 (multiplicity 1)
Sm: 0.2005 0.3029 0.5964 (multiplicity 2)
Sm: 0.3996 0.1007 0.2050 (multiplicity 2)
Sm: 0.4055 0.5969 0.2032 (multiplicity 2)
Ho: 0.1997 0.7994 0.5958 (multiplicity 2)

Result of the stability comparison: *b* is the most stable of them.

*a*
Entry from the Alexandria database: a relaxed structure of AcSm8Ho6 (PBE-GGA).

Summary:
density of states at the Fermi level	1.540	states/eV per atom
volume	33.95	A^3/atom

a = 9.2951 Å, b = 9.2951 Å, c = 20.4158 Å
α = 90.00°, β = 90.00°, γ = 120.00°
Space group R-3 (No. 148, hexagonal axes)
Asymmetric unit:
Ac: 0.0000 0.0000 0.0000 (multiplicity 3)
Sm: 0.0000 0.0000 0.4278 (multiplicity 6)
Sm: 0.0653 0.2453 0.1604 (multiplicity 18)
Ho: 0.0390 0.2383 0.6939 (multiplicity 18)

*b*
Entry from the Alexandria database: a relaxed structure of AcSm8Ho6 (PBE-GGA).

Summary:
density of states at the Fermi level	1.319	states/eV per atom
volume	34.66	A^3/atom

a = 9.5651 Å, b = 9.5651 Å, c = 6.5613 Å
α = 90.00°, β = 90.00°, γ = 120.00°
Space group P-3 (No. 147)
Asymmetric unit:
Ac: 0.0000 0.0000 0.0000 (multiplicity 1)
Sm: 0.0219 0.3347 0.5997 (multiplicity 6)
Sm: 0.3333 0.6667 0.3314 (multiplicity 2)
Ho: 0.0957 0.6777 0.9030 (multiplicity 6)

Result of the stability comparison: *a* is the most stable of them.

*a*
Entry from the Alexandria database: a relaxed structure of AcSm6Ho3 (PBE-GGA).

Summary:
density of states at the Fermi level	1.437	states/eV per atom
volume	35.25	A^3/atom

a = 11.3951 Å, b = 13.3078 Å, c = 9.2987 Å
α = 90.00°, β = 90.00°, γ = 90.00°
Space group Cmc2_1 (No. 36)
Asymmetric unit:
Ac: 0.0000 0.2412 0.0000 (multiplicity 4)
Sm: 0.0000 0.2685 0.4449 (multiplicity 4)
Sm: 0.0000 0.4915 0.6941 (multiplicity 4)
Sm: 0.1915 0.1104 0.6124 (multiplicity 8)
Sm: 0.2451 0.1630 0.2626 (multiplicity 8)
Ho: 0.0000 0.0232 0.3422 (multiplicity 4)
Ho: 0.2182 0.4207 0.4279 (multiplicity 8)

*b*
Entry from the Alexandria database: a relaxed structure of AcSm6Ho3 (PBE-GGA).

Summary:
density of states at the Fermi level	1.440	states/eV per atom
volume	34.24	A^3/atom

a = 12.7333 Å, b = 3.6811 Å, c = 14.6983 Å
α = 90.00°, β = 96.31°, γ = 90.00°
Space group P2_1/m (No. 11)
Asymmetric unit:
Ac: 0.1564 0.2500 0.3687 (multiplicity 2)
Sm: 0.1004 0.2500 0.0351 (multiplicity 2)
Sm: 0.1123 0.7500 0.5861 (multiplicity 2)
Sm: 0.2591 0.7500 0.1821 (multiplicity 2)
Sm: 0.2742 0.7500 0.9256 (multiplicity 2)
Sm: 0.3337 0.2500 0.7282 (multiplicity 2)
Sm: 0.3715 0.7500 0.5078 (multiplicity 2)
Ho: 0.0476 0.2500 0.7944 (multiplicity 2)
Ho: 0.4391 0.2500 0.3185 (multiplicity 2)
Ho: 0.4610 0.2500 0.0929 (multiplicity 2)

Result of the stability comparison: *b* is the most stable of them.

*a*
Entry from the Alexandria database: a relaxed structure of AcSmHo3 (PBE-GGA).

Summary:
density of states at the Fermi level	1.484	states/eV per atom
volume	35.91	A^3/atom

a = 4.9279 Å, b = 8.6140 Å, c = 9.4373 Å
α = 69.00°, β = 74.89°, γ = 90.00°
Space group P-1 (No. 2)
Asymmetric unit:
Ac: 0.1151 0.1518 0.2706 (multiplicity 2)
Sm: 0.3128 0.1106 0.8745 (multiplicity 2)
Ho: 0.0553 0.6960 0.3893 (multiplicity 2)
Ho: 0.2268 0.6264 0.0463 (multiplicity 2)
Ho: 0.4144 0.5510 0.6710 (multiplicity 2)

*b*
Entry from the Alexandria database: a relaxed structure of AcSmHo3 (PBE-GGA).

Summary:
density of states at the Fermi level	1.490	states/eV per atom
volume	34.35	A^3/atom

a = 5.8181 Å, b = 19.4762 Å, c = 6.0635 Å
α = 90.00°, β = 90.00°, γ = 90.00°
Space group Cmc2_1 (No. 36)
Asymmetric unit:
Ac: 0.0000 0.1465 0.0000 (multiplicity 4)
Sm: 0.0000 0.3567 0.9124 (multiplicity 4)
Ho: 0.0000 0.0443 0.5184 (multiplicity 4)
Ho: 0.0000 0.2486 0.4664 (multiplicity 4)
Ho: 0.0000 0.4572 0.3843 (multiplicity 4)

Result of the stability comparison: *b* is the most stable of them.

*a*
Entry from the Alexandria database: a relaxed structure of AcTbSmHo (PBE-GGA).

Summary:
density of states at the Fermi level	1.868	states/eV per atom
volume	35.43	A^3/atom

a = 8.2759 Å, b = 8.2759 Å, c = 8.2759 Å
α = 90.00°, β = 90.00°, γ = 90.00°
Space group F-43m (No. 216)
Asymmetric unit:
Ac: 0.0000 0.0000 0.0000 (multiplicity 4)
Tb: 0.2500 0.2500 0.2500 (multiplicity 4)
Sm: 0.0000 0.0000 0.5000 (multiplicity 4)
Ho: 0.2500 0.2500 0.7500 (multiplicity 4)

*b*
Entry from the Alexandria database: a relaxed structure of AcTbSmHo (PBE-GGA).

Summary:
density of states at the Fermi level	1.909	states/eV per atom
volume	35.68	A^3/atom

a = 3.5270 Å, b = 5.7614 Å, c = 7.0232 Å
α = 90.00°, β = 90.00°, γ = 90.00°
Space group Pmm2 (No. 25)
Asymmetric unit:
Ac: 0.0000 0.0000 0.0000 (multiplicity 1)
Tb: 0.5000 0.5000 0.7411 (multiplicity 1)
Sm: 0.0000 0.5000 0.2818 (multiplicity 1)
Ho: 0.0000 0.0000 0.5159 (multiplicity 1)

Result of the stability comparison: *a* is the most stable of them.

*a*
Entry from the Alexandria database: a relaxed structure of AcSmHoTm (PBE-GGA).

Summary:
density of states at the Fermi level	1.702	states/eV per atom
volume	35.00	A^3/atom

a = 8.2424 Å, b = 8.2424 Å, c = 8.2424 Å
α = 90.00°, β = 90.00°, γ = 90.00°
Space group F-43m (No. 216)
Asymmetric unit:
Ac: 0.0000 0.0000 0.0000 (multiplicity 4)
Sm: 0.0000 0.0000 0.5000 (multiplicity 4)
Ho: 0.2500 0.2500 0.2500 (multiplicity 4)
Tm: 0.2500 0.2500 0.7500 (multiplicity 4)

*b*
Entry from the Alexandria database: a relaxed structure of AcSmHoTm (PBE-GGA).

Summary:
density of states at the Fermi level	1.300	states/eV per atom
volume	34.72	A^3/atom

a = 3.6777 Å, b = 3.6777 Å, c = 35.5652 Å
α = 90.00°, β = 90.00°, γ = 120.00°
Space group R3m (No. 160, hexagonal axes)
Asymmetric unit:
Ac: 0.0000 0.0000 0.0000 (multiplicity 3)
Sm: 0.0000 0.0000 0.2440 (multiplicity 3)
Ho: 0.0000 0.0000 0.4199 (multiplicity 3)
Tm: 0.0000 0.0000 0.8314 (multiplicity 3)

Result of the stability comparison: *b* is the most stable of them.

*a*
Entry from the Alexandria database: a relaxed structure of AcHoSn (PBE-GGA).

Summary:
density of states at the Fermi level	1.241	states/eV per atom
volume	34.10	A^3/atom

a = 3.7407 Å, b = 3.7407 Å, c = 8.4408 Å
α = 90.00°, β = 90.00°, γ = 120.00°
Space group P3m1 (No. 156)
Asymmetric unit:
Ac: 0.0000 0.0000 0.0000 (multiplicity 1)
Ho: 0.6667 0.3333 0.3731 (multiplicity 1)
Sn: 0.3333 0.6667 0.6646 (multiplicity 1)

*b*
Entry from the Alexandria database: a relaxed structure of AcHoSn (PBE-GGA).

Summary:
density of states at the Fermi level	1.481	states/eV per atom
volume	32.48	A^3/atom

a = 4.1664 Å, b = 4.1664 Å, c = 11.2256 Å
α = 90.00°, β = 90.00°, γ = 90.00°
Space group I4mm (No. 107)
Asymmetric unit:
Ac: 0.0000 0.0000 0.0000 (multiplicity 2)
Ho: 0.0000 0.0000 0.7033 (multiplicity 2)
Sn: 0.0000 0.0000 0.3183 (multiplicity 2)

Result of the stability comparison: *b* is the most stable of them.

*a*
Entry from the Alexandria database: a relaxed structure of SrAcHo (PBE-GGA).

Summary:
density of states at the Fermi level	1.401	states/eV per atom
volume	42.08	A^3/atom

a = 3.9196 Å, b = 3.9196 Å, c = 16.4331 Å
α = 90.00°, β = 90.00°, γ = 90.00°
Space group I4mm (No. 107)
Asymmetric unit:
Sr: 0.0000 0.0000 0.0000 (multiplicity 2)
Ac: 0.0000 0.0000 0.3125 (multiplicity 2)
Ho: 0.0000 0.0000 0.6682 (multiplicity 2)

*b*
Entry from the Alexandria database: a relaxed structure of SrAcHo (PBE-GGA).

Summary:
density of states at the Fermi level	1.716	states/eV per atom
volume	44.54	A^3/atom

a = 5.3000 Å, b = 5.3000 Å, c = 9.5136 Å
α = 90.00°, β = 90.00°, γ = 90.00°
Space group P4/nmm (No. 129, origin choice 2)
Asymmetric unit:
Sr: 0.2500 0.2500 0.1609 (multiplicity 2)
Ac: 0.2500 0.7500 0.5000 (multiplicity 2)
Ho: 0.2500 0.2500 0.7648 (multiplicity 2)

*c*
Entry from the Alexandria database: a relaxed structure of SrAcHo (PBE-GGA).

Summary:
density of states at the Fermi level	1.307	states/eV per atom
volume	41.83	A^3/atom

a = 3.8930 Å, b = 3.8930 Å, c = 9.5615 Å
α = 90.00°, β = 90.00°, γ = 120.00°
Space group P3m1 (No. 156)
Asymmetric unit:
Sr: 0.0000 0.0000 0.0000 (multiplicity 1)
Ac: 0.3333 0.6667 0.6311 (multiplicity 1)
Ho: 0.6667 0.3333 0.3309 (multiplicity 1)

Result of the stability comparison: *a* is the most stable of them.

*a*
Entry from the Alexandria database: a relaxed structure of SrAc4Ho (PBE-GGA).

Summary:
density of states at the Fermi level	1.699	states/eV per atom
volume	43.71	A^3/atom

a = 3.9905 Å, b = 3.9905 Å, c = 16.4687 Å
α = 90.00°, β = 90.00°, γ = 90.00°
Space group P4/mmm (No. 123)
Asymmetric unit:
Sr: 0.0000 0.0000 0.0000 (multiplicity 1)
Ac: 0.0000 0.0000 0.3518 (multiplicity 2)
Ac: 0.5000 0.5000 0.1877 (multiplicity 2)
Ho: 0.5000 0.5000 0.5000 (multiplicity 1)

*b*
Entry from the Alexandria database: a relaxed structure of SrAc4Ho (PBE-GGA).

Summary:
density of states at the Fermi level	1.635	states/eV per atom
volume	46.42	A^3/atom

a = 10.3665 Å, b = 10.3665 Å, c = 10.3665 Å
α = 90.00°, β = 90.00°, γ = 90.00°
Space group F-43m (No. 216)
Asymmetric unit:
Sr: 0.0000 0.0000 0.0000 (multiplicity 4)
Ac: 0.1232 0.1232 0.3768 (multiplicity 16)
Ho: 0.2500 0.2500 0.7500 (multiplicity 4)

Result of the stability comparison: *a* is the most stable of them.

*a*
Entry from the Alexandria database: a relaxed structure of AcTb3Ho4 (PBE-GGA).

Summary:
density of states at the Fermi level	1.715	states/eV per atom
volume	33.18	A^3/atom

a = 3.4692 Å, b = 11.7337 Å, c = 13.0429 Å
α = 90.00°, β = 90.00°, γ = 90.00°
Space group Immm (No. 71)
Asymmetric unit:
Ac: 0.0000 0.0000 0.0000 (multiplicity 2)
Tb: 0.0000 0.0000 0.5000 (multiplicity 2)
Tb: 0.0000 0.5000 0.2559 (multiplicity 4)
Ho: 0.0000 0.2544 0.1360 (multiplicity 8)

*b*
Entry from the Alexandria database: a relaxed structure of AcTb3Ho4 (PBE-GGA).

Summary:
density of states at the Fermi level	2.244	states/eV per atom
volume	34.23	A^3/atom

a = 11.8560 Å, b = 13.3800 Å, c = 3.4528 Å
α = 90.00°, β = 90.00°, γ = 90.00°
Space group Cmmm (No. 65)
Asymmetric unit:
Ac: 0.0000 0.0000 0.0000 (multiplicity 2)
Tb: 0.0000 0.5000 0.0000 (multiplicity 2)
Tb: 0.2500 0.2500 0.5000 (multiplicity 4)
Ho: 0.0000 0.2602 0.0000 (multiplicity 4)
Ho: 0.2366 0.5000 0.5000 (multiplicity 4)

Result of the stability comparison: *a* is the most stable of them.